Here is a geometry-optimized SiPt2O structure from the Alexandria database. Energies are from PBE.

Cell and atoms, written as POSCAR:
```
SiPt2O
1.0
-3.013 0.858 -4.571
4.117 -2.042 -3.097
-1.142 -4.568 -3.463
Si O Pt
2 2 4
Direct
0.000 0.000 0.000
0.750 0.250 0.500
0.500 0.500 0.000
0.250 0.750 0.500
0.608 0.125 0.250
0.142 0.625 0.250
0.375 0.392 0.750
0.875 0.858 0.750
```

Calculated values
The value obtained for the total moment is 0.000 μB/atom. The calculation puts the energy relative to the elements, uncorrected at -0.1135 eV per atom. The calculation puts the total energy at -5.73 eV/atom. Its energy above the most stable polymorph in this dataset is 0.0627 eV/atom. The density comes out at 10.8 g/cm³.

***

Here is a geometry-optimized Pr2Ho3In3 structure from the Alexandria database. Energies are from PBE.

Cell and atoms, written as POSCAR:
```
Pr2Ho3In3
1.0
-1.296 4.345 -0.475
-3.320 -1.355 -3.337
-4.609 -2.750 9.296
Pr Ho In
2 3 3
Direct
0.740 0.240 0.480
0.260 0.760 0.520
0.616 0.616 0.232
0.384 0.384 0.768
0.500 0.000 0.000
0.121 0.121 0.241
0.000 0.500 0.000
0.879 0.879 0.759
```

Calculated values
The value obtained for the total moment is 0.000 μB/atom. The calculation puts the total energy at -4.28 eV/atom. The density comes out at 8.2 g/cm³.

***

Here is a geometry-optimized Ho8Ga3HgTe4 structure from the Alexandria database. Energies are from PBE.

Cell and atoms, written as POSCAR:
```
Ho8Ga3HgTe4
1.0
8.205 0.000 0.000
0.000 8.908 0.490
-4.102 -4.097 5.805
Ho Ga Hg Te
8 3 1 4
Direct
0.249 0.738 0.989
0.249 0.738 0.498
0.256 0.267 0.511
0.740 0.738 0.989
0.260 0.262 0.011
0.744 0.733 0.489
0.751 0.262 0.502
0.751 0.262 0.011
0.500 0.500 0.000
0.500 0.500 0.500
0.000 0.500 0.500
0.000 0.500 0.000
0.500 0.000 0.000
0.500 0.000 0.500
0.000 0.000 0.000
0.000 0.000 0.500
```

Calculated values
The value obtained for the total moment is 0.000 μB/atom. The calculation puts the energy relative to the elements, uncorrected at -0.8956 eV per atom. The calculation puts the total energy at -4.56 eV/atom. The density comes out at 8.4 g/cm³.

***

Here is a geometry-optimized Pm5HoTm structure from the Alexandria database. Energies are from PBE.

Cell and atoms, written as POSCAR:
```
Pm5HoTm
1.0
6.625 0.000 0.000
-3.313 5.169 -1.539
0.000 2.883 12.993
Pm Ho Tm
10 2 2
Direct
0.266 0.508 0.158
0.657 0.334 0.579
0.242 0.508 0.658
0.246 0.000 0.250
0.323 0.666 0.921
0.677 0.334 0.079
0.754 0.000 0.750
0.758 0.492 0.342
0.343 0.666 0.421
0.734 0.492 0.842
0.772 0.000 0.250
0.228 0.000 0.750
0.000 0.000 0.000
0.000 0.000 0.500
```

Calculated values
The value obtained for the total moment is 0.000 μB/atom. The calculation puts the total energy at -4.53 eV/atom. The density comes out at 7.4 g/cm³.

***

Here is a geometry-optimized PbW2N structure from the Alexandria database. Energies are from PBE.

Cell and atoms, written as POSCAR:
```
PbW2N
1.0
5.198 0.000 0.000
0.000 5.198 0.000
2.599 2.599 5.819
Pb W N
2 4 2
Direct
0.000 0.000 0.000
0.750 0.250 0.500
0.458 0.125 0.250
0.292 0.625 0.250
0.375 0.542 0.750
0.875 0.708 0.750
0.500 0.500 0.000
0.250 0.750 0.500
```

Calculated values
The value obtained for the total moment is 0.000 μB/atom. The calculation puts the energy relative to the elements, uncorrected at 0.8495 eV per atom. The calculation puts the total energy at -8.64 eV/atom. Its energy above the most stable polymorph in this dataset is 0.0000 eV/atom. The density comes out at 12.4 g/cm³.

***

Here is a geometry-optimized ScAl2Cl structure from the Alexandria database. Energies are from PBE.

Cell and atoms, written as POSCAR:
```
ScAl2Cl
1.0
-3.120 -1.147 -3.573
2.504 -0.638 -1.982
-0.004 -4.841 1.558
Sc Al Cl
1 2 1
Direct
0.500 0.625 0.732
0.000 0.123 0.985
0.500 0.125 0.220
0.000 0.627 0.563
```

Calculated values
The value obtained for the total moment is 0.000 μB/atom. The calculation puts the energy relative to the elements, uncorrected at -0.3752 eV per atom. The calculation puts the total energy at -4.29 eV/atom. Its energy above the most stable polymorph in this dataset is 0.1533 eV/atom. The density comes out at 2.8 g/cm³.

***

Here is a geometry-optimized CaDyAs2O8 structure from the Alexandria database. Energies are from PBE.

Cell and atoms, written as POSCAR:
```
CaDyAs2O8
1.0
-5.042 -0.348 -0.565
0.495 -4.856 -1.427
1.774 0.939 6.481
Ca Dy As O
1 1 2 8
Direct
0.750 0.250 0.500
0.000 0.000 0.000
0.500 0.500 0.000
0.250 0.750 0.500
0.725 0.828 0.154
0.428 0.326 0.154
0.582 0.693 0.662
0.080 0.969 0.662
0.031 0.418 0.338
0.307 0.920 0.338
0.172 0.572 0.846
0.674 0.275 0.846
```

Calculated values
The value obtained for the total moment is 0.091 μB/atom. The calculation puts the energy relative to the elements, uncorrected at -2.0391 eV per atom. The calculation puts the total energy at -6.67 eV/atom. The density comes out at 5.4 g/cm³.

***

Here is a geometry-optimized MgSbBr structure from the Alexandria database. Energies are from PBE.

Cell and atoms, written as POSCAR:
```
MgSbBr
1.0
-1.026 1.013 3.674
1.919 -3.389 -0.649
9.466 11.225 -0.452
Mg Sb Br
2 2 2
Direct
0.644 0.289 0.274
0.356 0.711 0.726
0.894 0.788 0.572
0.106 0.212 0.428
0.781 0.562 0.837
0.219 0.438 0.163
```

Calculated values
The value obtained for the total moment is 0.000 μB/atom. The calculation puts the energy relative to the elements, uncorrected at -0.6752 eV per atom. The calculation puts the total energy at -3.14 eV/atom. Its energy above the most stable polymorph in this dataset is 0.0000 eV/atom. The density comes out at 4.1 g/cm³.